Entry 1:
Density functional theory data (PBE-GGA) for a relaxed structure of NaLa2CuO5.

POSCAR file:
```
NaLa2CuO5
1.0
5.650 0.000 0.000
0.000 6.882 0.000
0.000 0.000 6.882
Na La Cu O
2 4 2 10
direct
0.000 0.500 0.500 Na
0.000 0.000 0.000 Na
0.500 0.681 0.181 La
0.500 0.181 0.319 La
0.500 0.819 0.681 La
0.500 0.319 0.819 La
0.000 0.000 0.500 Cu
0.000 0.500 0.000 Cu
0.500 0.500 0.500 O
0.500 0.000 0.000 O
0.236 0.130 0.630 O
0.236 0.870 0.370 O
0.236 0.370 0.130 O
0.236 0.630 0.870 O
0.764 0.130 0.630 O
0.764 0.630 0.870 O
0.764 0.870 0.370 O
0.764 0.370 0.130 O
```

Summary:
* ΔE_f (raw): -2.293 eV/atom
* space-group type: P4/mbm (127)

---

Entry 2:
Density functional theory data (PBE-GGA) for a relaxed structure of In2SiAu.

POSCAR file:
```
In2SiAu
1.0
-2.930 4.151 -1.017
-4.127 -2.104 -2.322
2.069 -1.346 4.555
Au In Si
1 2 1
direct
0.750 0.250 0.500 Au
0.000 0.000 0.000 In
0.500 0.500 0.000 In
0.250 0.750 0.500 Si
```

Summary:
* density of states at the Fermi level: 1.476 states/eV/f.u.
* ΔE_f (raw): 0.204 eV/atom
* space-group type: I4/mmm (139)

---

Entry 3:
Density functional theory data (PBE-GGA) for a relaxed structure of HfSi2Ir.

POSCAR file:
```
HfSi2Ir
1.0
2.462 2.267 2.901
-1.211 4.082 1.219
-1.516 0.729 4.097
Si Ir Hf
2 1 1
direct
0.250 0.250 0.250 Si
0.750 0.750 0.750 Si
0.500 0.500 0.500 Ir
0.000 0.000 0.000 Hf
```

Summary:
* density of states at the Fermi level: 4.644 states/eV/f.u.
* ΔE_f (raw): -0.261 eV/atom
* space-group type: Fm-3m (225)

---

Entry 4:
Density functional theory data (PBE-GGA) for a relaxed structure of Er3Pd2Au4.

POSCAR file:
```
Er3Pd2Au4
1.0
-1.910 1.224 -4.689
-8.359 0.344 2.050
-1.867 8.278 1.476
Er Pd Au
6 4 8
direct
0.083 0.964 0.705 Er
0.417 0.295 0.036 Er
0.917 0.036 0.295 Er
0.583 0.705 0.964 Er
0.250 0.383 0.617 Er
0.750 0.617 0.383 Er
0.190 0.735 0.486 Pd
0.310 0.514 0.265 Pd
0.810 0.265 0.514 Pd
0.690 0.486 0.735 Pd
0.528 0.077 0.812 Au
0.972 0.188 0.923 Au
0.472 0.923 0.188 Au
0.028 0.812 0.077 Au
0.642 0.840 0.603 Au
0.858 0.397 0.160 Au
0.358 0.160 0.397 Au
0.142 0.603 0.840 Au
```

Summary:
* density of states at the Fermi level: 3.583 states/eV/f.u.
* formation enthalpy at 0 K: -711 kJ/mol of formula units
* space-group type: C2/c (15)

---

Entry 5:
Density functional theory data (PBE-GGA) for a relaxed structure of Rb2AgOsCl6.

POSCAR file:
```
Rb2AgOsCl6
1.0
-5.133 4.769 -1.558
-6.345 -0.337 3.339
0.542 9.145 9.667
Rb Ag Os Cl
4 2 2 12
direct
0.873 0.873 0.380 Rb
0.127 0.127 0.620 Rb
0.701 0.701 0.896 Rb
0.299 0.299 0.104 Rb
0.588 0.588 0.236 Ag
0.412 0.412 0.764 Ag
0.000 0.000 0.000 Os
0.500 0.500 0.500 Os
0.849 0.381 0.390 Cl
0.381 0.849 0.390 Cl
0.381 0.381 0.390 Cl
0.151 0.619 0.610 Cl
0.619 0.151 0.610 Cl
0.619 0.619 0.610 Cl
0.725 0.193 0.889 Cl
0.193 0.725 0.889 Cl
0.193 0.193 0.889 Cl
0.275 0.807 0.111 Cl
0.807 0.275 0.111 Cl
0.807 0.807 0.111 Cl
```

Summary:
* density of states at the Fermi level: 8.700 states/eV/f.u.
* ΔE_f (raw): -0.980 eV/atom
* space-group type: R-3m (166)

---

Entry 6:
Density functional theory data (PBE-GGA) for a relaxed structure of Y4Pt2O.

POSCAR file:
```
Y4Pt2O
1.0
6.645 0.000 0.127
0.000 6.844 0.000
-2.299 0.000 7.258
Y Pt O
8 4 2
direct
0.494 0.507 0.252 Y
0.074 0.750 0.903 Y
0.926 0.250 0.097 Y
0.494 0.993 0.252 Y
0.942 0.250 0.622 Y
0.506 0.007 0.748 Y
0.506 0.493 0.748 Y
0.058 0.750 0.378 Y
0.722 0.750 0.048 Pt
0.278 0.250 0.952 Pt
0.261 0.250 0.434 Pt
0.739 0.750 0.566 Pt
0.265 0.750 0.194 O
0.735 0.250 0.806 O
```

Summary:
* energy above the lowest structure with this stoichiometry: 0.0000 eV/atom
* density of states at the Fermi level: 5.452 states/eV/f.u.
* ΔE_f (raw): -1.552 eV/atom
* space-group type: P2_1/m (11)

---

no.,size of the total moment (μB per formula unit)
1,0.0
2,0.0
3,0.8
4,0.0
5,1.0
6,0.0